(1)
Density functional theory data (GGA-PBE) for an optimized crystal structure of ScH2Au.

```
8
Lattice="-2.3097 -3.2106 1.6154 2.4067 -2.8077 -2.1393 3.3296 -3.3122 3.8270" Properties=species:S:1:pos:R:3 pbc="T T T"
Sc 0.0485 -3.0092 -0.2620
Sc 2.8924 -4.5645 0.7129
H -0.3073 -3.1815 1.6968
H 2.0449 -2.9884 -0.1763
H 2.5367 -4.7447 2.6710
H 2.5790 -7.7465 2.4146
Au 0.0000 0.0000 0.0000
Au 0.5342 -4.7660 2.5902
```

Properties
space-group type: I-42d

***

(2)
Density functional theory data (GGA-PBE) for an optimized crystal structure of ScH2Au.

```
4
Lattice="2.2853 -1.0118 3.1316 -1.5151 -2.2656 2.9368 1.2270 -3.7883 0.4437" Properties=species:S:1:pos:R:3 pbc="T T T"
Sc 0.0000 0.0000 0.0000
H 0.4993 -1.7664 1.6280
H 1.4979 -5.2993 4.8841
Au 0.9986 -3.5328 3.2561
```

Properties
space-group type: Fm-3m

***

Stability, highest: (1)

***

(1)
Density functional theory data (GGA-PBE) for an optimized crystal structure of ScHAu2.

```
8
Lattice="6.9929 0.0000 0.0000 0.0000 6.9929 0.0000 3.4964 3.4964 2.5440" Properties=species:S:1:pos:R:3 pbc="T T T"
Sc 0.0000 0.0000 0.0000
Sc 6.9929 3.4964 1.2720
H 3.4964 3.4964 0.0000
H 3.4964 6.9929 1.2720
Au 4.6667 1.7482 0.6360
Au 2.3262 5.2446 0.6360
Au 5.2446 5.8226 1.9080
Au 8.7411 8.1631 1.9080
```

Properties
space-group type: I-42d

***

(2)
Density functional theory data (GGA-PBE) for an optimized crystal structure of ScHAu2.

```
4
Lattice="0.0000 3.2253 3.2253 3.2253 0.0000 3.2253 3.2253 3.2253 0.0000" Properties=species:S:1:pos:R:3 pbc="T T T"
Sc 3.2253 3.2253 3.2253
H 0.0000 0.0000 0.0000
Au 1.6127 1.6127 1.6127
Au 4.8380 4.8380 4.8380
```

Properties
space-group type: Fm-3m

***

Stability, highest: (1)

***

(1)
Density functional theory data (GGA-PBE) for an optimized crystal structure of HAu2Se.

```
4
Lattice="-2.6961 -3.6237 0.0663 -0.7176 -2.2107 3.8733 -4.0368 0.2248 2.0144" Properties=species:S:1:pos:R:3 pbc="T T T"
H 0.0000 0.0000 0.0000
Au -1.8626 -1.4024 1.4885
Au -5.5879 -4.2072 4.4655
Se -3.7253 -2.8048 2.9770
```

Properties
space-group type: Fm-3m

***

(2)
Density functional theory data (GGA-PBE) for an optimized crystal structure of HAu2Se.

```
8
Lattice="-4.1707 -2.3757 -1.4017 1.5575 -4.1254 2.3577 -3.8580 -1.5359 5.1637" Properties=species:S:1:pos:R:3 pbc="T T T"
H -1.3066 -3.2505 0.4780
H -1.8035 -4.4559 3.9997
Au -2.9079 -2.1175 0.8671
Au -0.9810 -3.5263 2.4318
Au -3.6984 -4.0534 4.4962
Au -5.3550 -6.3769 4.4443
Se 0.0000 0.0000 0.0000
Se -4.6676 -3.5811 2.1200
```

Properties
space-group type: I-42d

***

Stability, highest: (2)

***

(1)
Density functional theory data (GGA-PBE) for an optimized crystal structure of SiHAu2.

```
8
Lattice="5.0811 0.0000 0.0000 0.0000 5.0811 0.0000 2.5405 2.5405 5.0075" Properties=species:S:1:pos:R:3 pbc="T T T"
H 2.5405 2.5405 0.0000
H 2.5405 5.0811 2.5037
Si 0.0000 0.0000 0.0000
Si 5.0811 2.5405 2.5037
Au 3.4227 1.2703 1.2519
Au 1.6583 3.8108 1.2519
Au 3.8108 4.1989 3.7556
Au 6.3513 5.9632 3.7556
```

Properties
space-group type: I-42d

***

(2)
Density functional theory data (GGA-PBE) for an optimized crystal structure of SiHAu2.

```
4
Lattice="-3.6300 0.0605 2.3202 -1.3601 3.6821 1.7766 -3.5093 1.9682 -1.5411" Properties=species:S:1:pos:R:3 pbc="T T T"
H 0.0000 0.0000 0.0000
Si -4.2497 2.8554 1.2778
Au -2.1248 1.4277 0.6389
Au -6.3745 4.2831 1.9168
```

Properties
space-group type: Fm-3m

***

Stability, highest: (1)

***

(1)
Density functional theory data (GGA-PBE) for an optimized crystal structure of Si3HAu.

```
5
Lattice="-0.5936 -2.1500 -4.3443 4.5157 -1.8360 0.2917 -1.7618 -3.9818 2.2113" Properties=species:S:1:pos:R:3 pbc="T T T"
H 1.0802 -3.9839 -0.9207
Si 2.2579 -0.9180 0.1458
Si -0.8809 -1.9909 1.1056
Si -0.2968 -1.0750 -2.1722
Au 0.0000 0.0000 0.0000
```

Properties
space-group type: Pm-3m

***

(2)
Density functional theory data (GGA-PBE) for an optimized crystal structure of Si3HAu.

```
5
Lattice="-3.8114 -1.4470 -0.1846 1.3963 -3.7685 0.7095 -0.4221 0.5994 4.0146" Properties=species:S:1:pos:R:3 pbc="T T T"
H 0.0000 0.0000 0.0000
Si 0.6982 -1.8842 0.3547
Si -0.2110 0.2997 2.0073
Si -1.9057 -0.7235 -0.0923
Au -1.4185 -2.3080 2.2697
```

Properties
space-group type: Pm-3m

***

Stability, highest: (2)

***

(1)
Density functional theory data (GGA-PBE) for an optimized crystal structure of SmHAu.

```
3
Lattice="-1.1815 3.3047 -0.0564 -1.2934 -0.5174 -3.2218 -2.8537 -2.8243 3.5113" Properties=species:S:1:pos:R:3 pbc="T T T"
H -2.0582 -0.7197 0.9419
Au -0.2291 -0.0801 0.1048
Sm -3.0413 0.7628 -0.8136
```

Properties
space-group type: I4mm

***

(2)
Density functional theory data (GGA-PBE) for an optimized crystal structure of SmHAu.

```
12
Lattice="-2.7112 -2.6557 0.1207 4.9396 -4.8998 3.1440 -1.9344 2.2745 6.5932" Properties=species:S:1:pos:R:3 pbc="T T T"
H 1.7111 -2.6780 9.3707
H 1.0528 -5.0529 2.0592
H -1.4170 -2.6030 0.4872
H -0.7588 -0.2281 7.7987
Au 1.6535 -2.8375 4.5681
Au 1.1105 -4.8933 6.8618
Au -1.3594 -2.4435 5.2898
Au -0.8164 -0.3876 2.9961
Sm 0.8293 -1.8684 7.3827
Sm 1.9344 -5.8627 4.0472
Sm -0.5352 -3.4126 2.4752
Sm -1.6403 0.5817 5.8106
```

Properties
space-group type: Pmmn

***

Stability, highest: (2)

***

(1)
Density functional theory data (GGA-PBE) for an optimized crystal structure of Sm2HAu.

```
8
Lattice="-1.6505 2.3578 -2.5822 -2.5805 -5.5365 -3.4045 -3.6753 1.2016 6.3421" Properties=species:S:1:pos:R:3 pbc="T T T"
Sm -1.7231 0.8648 0.6601
Sm -3.7351 -1.9248 2.2938
Sm -4.2055 2.1526 3.4234
Sm -2.5423 -1.8386 -1.2849
H -0.8090 -0.3894 -1.0686
H -3.4564 -0.5845 0.4438
Au -6.6520 -1.0316 2.0798
Au -5.5197 -1.9195 -2.3493
```

Properties
space-group type: C2/m

***

(2)
Density functional theory data (GGA-PBE) for an optimized crystal structure of Sm2HAu.

```
4
Lattice="3.9480 0.0000 0.0000 1.9740 3.4191 0.0000 1.9740 1.1397 6.7174" Properties=species:S:1:pos:R:3 pbc="T T T"
H 3.9480 2.2794 3.3587
Au 0.0000 0.0000 0.0000
Sm 5.9221 3.4191 4.7740
Sm 1.9740 1.1397 1.9434
```

Properties
space-group type: R-3m

***

Stability, highest: (1)

***

(1)
Density functional theory data (GGA-PBE) for an optimized crystal structure of Sn2HAu.

```
8
Lattice="5.0493 0.0000 0.0000 0.0000 5.0493 0.0000 2.5247 2.5247 7.0008" Properties=species:S:1:pos:R:3 pbc="T T T"
H 2.5247 2.5247 0.0000
H 2.5247 5.0493 3.5004
Au 0.0000 0.0000 0.0000
Au 5.0493 2.5247 3.5004
Sn 3.3708 1.2623 1.7502
Sn 1.6785 3.7870 1.7502
Sn 3.7870 4.2031 5.2506
Sn 6.3116 5.8955 5.2506
```

Properties
space-group type: I-42d

***

(2)
Density functional theory data (GGA-PBE) for an optimized crystal structure of Sn2HAu.

```
4
Lattice="-0.1389 -1.6845 4.4494 -3.5930 1.1923 2.8850 -3.2574 -3.2514 1.2131" Properties=species:S:1:pos:R:3 pbc="T T T"
H 0.0000 0.0000 0.0000
Au -3.4947 -1.8717 4.2738
Sn -1.7473 -0.9359 2.1369
Sn -5.2420 -2.8076 6.4106
```

Properties
space-group type: Fm-3m

***

Stability, highest: (2)